KTlW2 | Alexandria | PBE | optimized geometry; uncorrected energy = -5.76 eV per atom; SG = I-4m2, No. 119; formation energy from the elements = 1.582 eV per atom
1.0
-2.4296 2.4296 3.4488
2.4296 -2.4296 3.4488
2.4296 2.4296 -3.4488
K Tl W
1 1 2
Cartesian
0.0000 0.0000 0.0000 K
2.4296 0.0000 1.7244 Tl
0.0000 0.0000 3.4488 W
0.0000 2.4296 1.7244 W

=====

KTlW4 | Alexandria | PBE | optimized geometry; uncorrected energy = -7.97 eV per atom; SG = F-43m, No. 216; formation energy from the elements = 1.247 eV per atom
1.0
0.0000 3.9179 3.9179
3.9179 0.0000 3.9179
3.9179 3.9179 0.0000
K Tl W
1 1 4
Cartesian
0.0000 0.0000 0.0000 K
5.8768 5.8768 5.8768 Tl
2.9206 2.9206 2.9206 W
4.9152 4.9152 2.9206 W
4.9152 2.9206 4.9152 W
2.9206 4.9152 4.9152 W

=====

KTlW2 | Alexandria | PBE | optimized geometry; uncorrected energy = -6.06 eV per atom; SG = Imm2, No. 44; formation energy from the elements = 1.286 eV per atom
1.0
-1.5546 2.9090 5.6347
1.5546 -2.9090 5.6347
1.5546 2.9090 -5.6347
K Tl W
1 1 2
Cartesian
0.0000 0.0000 0.0000 K
1.5546 0.0000 3.3461 Tl
0.0000 0.0000 6.1066 W
0.0000 2.9090 2.3058 W

=====

KTlW | Alexandria | PBE | optimized geometry; uncorrected energy = -4.37 eV per atom; SG = P3m1, No. 156; formation energy from the elements = 1.098 eV per atom
1.0
3.0702 0.0000 0.0000
-1.5351 2.6588 0.0000
0.0000 0.0000 8.6388
K Tl W
1 1 1
Cartesian
0.0000 0.0000 0.0000 K
1.5351 0.8863 3.0864 Tl
0.0000 1.7726 5.6105 W

=====

KTlW2 | Alexandria | PBE | optimized geometry; uncorrected energy = -6.60 eV per atom; SG = Pm, No. 6; formation energy from the elements = 0.746 eV per atom
1.0
3.3190 0.0000 0.0000
0.0000 3.2625 0.0000
-0.0802 0.0000 9.1479
K Tl W
1 1 2
Cartesian
0.0000 0.0000 0.0000 K
1.5956 1.6312 6.3302 Tl
1.6139 1.6312 2.9454 W
3.1894 0.0000 4.1053 W

=====

KTlW2 | Alexandria | PBE | optimized geometry; uncorrected energy = -5.99 eV per atom; SG = Immm, No. 71; formation energy from the elements = 1.353 eV per atom
1.0
-1.4114 2.6274 5.7996
1.4114 -2.6274 5.7996
1.4114 2.6274 -5.7996
K Tl W
1 1 2
Cartesian
0.0000 0.0000 0.0000 K
0.0000 0.0000 5.7996 Tl
1.4114 0.0000 3.2004 W
0.0000 2.6274 2.5991 W

=====

KTlW2 | Alexandria | PBE | optimized geometry; uncorrected energy = -6.55 eV per atom; SG = Cmm2, No. 35; formation energy from the elements = 0.791 eV per atom
1.0
1.6598 -2.5340 0.0000
1.6598 2.5340 0.0000
0.0000 0.0000 10.7018
K Tl W
1 1 2
Cartesian
0.0000 0.0000 0.0000 K
1.6598 0.0000 7.6091 Tl
0.0000 0.0000 4.9972 W
1.6598 0.0000 3.0958 W

=====

K2YTl | Alexandria | PBE | optimized geometry; uncorrected energy = -2.55 eV per atom; SG = Pmmm, No. 47; formation energy from the elements = 0.203 eV per atom
1.0
4.3184 0.0000 0.0000
0.0000 5.2347 0.0000
0.0000 0.0000 6.5439
K Y Tl
2 1 1
Cartesian
0.0000 0.0000 0.0000 K
2.1592 2.6174 0.0000 K
0.0000 2.6174 3.2719 Y
2.1592 0.0000 3.2719 Tl